Entry from OQMD via LeMat-Bulk: ErCoSi2Os after structural relaxation (PBE).

CIF file:
```
data_ErCoSi2Os
_chemical_formula_sum 'Er2 Co2 Si4 Os2'
_cell_length_a 4.010
_cell_length_b 4.010
_cell_length_c 9.704
_cell_angle_alpha 90.00
_cell_angle_beta 90.00
_cell_angle_gamma 90.00
_space_group_name_H-M_alt 'I -4 m 2'
_space_group_IT_number 119
_space_group_name_Hall 'I -4 -2'
loop_
_atom_site_label
_atom_site_type_symbol
_atom_site_fract_x
_atom_site_fract_y
_atom_site_fract_z
_atom_site_occupancy
Er1 Er 0.000 0.000 0.000 1
Co1 Co 0.000 0.500 0.750 1
Si1 Si 0.000 0.000 0.374 1
Os1 Os 0.000 0.500 0.250 1
```

Calculated values
* uncorrected energy: -7.529 eV per atom
* M_tot: 0.0 μB/f.u.